Record 1
Computed, not measured: a relaxed structure of BaMgBr at the GGA-PBE level of DFT.

## Properties
**Final energy**: -7.25 eV per cell
**D(E_F)**: 0.72 states/eV per atom
**Total magnetic moment**: 0.31 μB per cell
**Formation energy without anion corrections**: -0.69 eV per atom

Unit cell a=5.5757 b=5.5757 c=4.8345 alpha=90.00 beta=90.00 gamma=120.00
Space group P3m1 (No. 156)
Asymmetric unit:
Ba 0.0000 0.0000 0.0000 (multiplicity 1)
Mg 0.3333 0.6667 0.5018 (multiplicity 1)
Br 0.6667 0.3333 0.0561 (multiplicity 1)

Record 2
Computed, not measured: a relaxed structure of Fe2ReIr at the GGA-PBE level of DFT.

## Properties
**Energy relative to the elements**: 0.02 eV/atom
**Final energy**: -76.33 eV per cell
**D(E_F)**: 1.08 states/eV per atom
**Total magnetic moment**: 0.00 μB per cell

Unit cell a=3.7387 b=3.7387 c=7.2166 alpha=90.00 beta=90.00 gamma=90.00
Space group I4/mmm (No. 139)
Asymmetric unit:
Fe 0.0000 0.5000 0.2500 (multiplicity 4)
Re 0.0000 0.0000 0.0000 (multiplicity 2)
Ir 0.0000 0.0000 0.5000 (multiplicity 2)

Record 3
Computed, not measured: a relaxed structure of AgAsPSe2 at the GGA-PBE level of DFT.

## Properties
**Final energy**: -14.22 eV per cell
**D(E_F)**: 1.16 states/eV per atom
**Total magnetic moment**: 0.00 μB per cell
**Formation energy without anion corrections**: 1.13 eV per atom

Unit cell a=5.0240 b=5.0240 c=4.9254 alpha=90.00 beta=90.00 gamma=90.00
Space group P4/mmm (No. 123)
Asymmetric unit:
Ag 0.0000 0.0000 0.0000 (multiplicity 1)
As 0.0000 0.0000 0.5000 (multiplicity 1)
P 0.5000 0.5000 0.5000 (multiplicity 1)
Se 0.0000 0.5000 0.0000 (multiplicity 2)

Record 4
Computed, not measured: a relaxed structure of TlSe2Br at the GGA-PBE level of DFT.

## Properties
**Final energy**: -23.30 eV per cell
**D(E_F)**: 0.37 states/eV per atom
**Total magnetic moment**: 0.00 μB per cell
**Formation energy without anion corrections**: -0.16 eV per atom

Unit cell a=4.0902 b=7.9413 c=9.7366 alpha=90.00 beta=90.00 gamma=90.00
Space group Cmm2 (No. 35)
Asymmetric unit:
Tl 0.0000 0.0000 0.0000 (multiplicity 2)
Se 0.0000 0.0000 0.4621 (multiplicity 2)
Se 0.0000 0.5000 0.3303 (multiplicity 2)
Br 0.0000 0.5000 0.7898 (multiplicity 2)

Record 5
Computed, not measured: a relaxed structure of K6Rb8Cl at the GGA-PBE level of DFT.

## Properties
**Final energy**: -19.70 eV per cell
**D(E_F)**: 0.71 states/eV per atom
**Total magnetic moment**: 0.00 μB per cell
**Formation energy without anion corrections**: -0.24 eV per atom

Unit cell a=12.8674 b=12.8674 c=8.0250 alpha=90.00 beta=90.00 gamma=120.00
Space group P-3 (No. 147)
Asymmetric unit:
K 0.0978 0.6110 0.2536 (multiplicity 6)
Rb 0.0452 0.8107 0.7593 (multiplicity 6)
Rb 0.3333 0.6667 0.7540 (multiplicity 2)
Cl 0.0000 0.0000 0.0000 (multiplicity 1)

Record 6
Computed, not measured: a relaxed structure of K2SiP2 at the GGA-PBE level of DFT.

## Properties
**Final energy**: -37.38 eV per cell
**D(E_F)**: 0.45 states/eV per atom
**Total magnetic moment**: 0.00 μB per cell
**Formation energy without anion corrections**: -0.05 eV per atom

Unit cell a=6.7061 b=6.7061 c=5.2666 alpha=90.00 beta=90.00 gamma=90.00
Space group P4/mbm (No. 127)
Asymmetric unit:
K 0.1831 0.3169 0.0000 (multiplicity 4)
Si 0.0000 0.0000 0.5000 (multiplicity 2)
P 0.1160 0.6160 0.5000 (multiplicity 4)

Record 7
Computed, not measured: a relaxed structure of GaNi at the GGA-PBE level of DFT.

## Properties
**Energy relative to the elements**: -0.26 eV/atom
**Final energy**: -18.65 eV per cell
**D(E_F)**: 0.56 states/eV per atom
**Total magnetic moment**: 0.00 μB per cell

Unit cell a=2.6981 b=4.5667 c=4.2054 alpha=90.00 beta=90.00 gamma=90.00
Space group Pmmn (No. 59, origin choice 2)
Asymmetric unit:
Ga 0.2500 0.2500 0.1231 (multiplicity 2)
Ni 0.2500 0.7500 0.3874 (multiplicity 2)

Record 8
Computed, not measured: a relaxed structure of PmScSb at the GGA-PBE level of DFT.

## Properties
**Final energy**: -67.99 eV per cell
**D(E_F)**: 1.18 states/eV per atom
**Total magnetic moment**: 3.18 μB per cell
**Formation energy without anion corrections**: -0.60 eV per atom

Unit cell a=7.7344 b=3.8678 c=10.8924 alpha=90.00 beta=90.00 gamma=90.00
Space group Pnma (No. 62)
Asymmetric unit:
Pm 0.1538 0.2500 0.0890 (multiplicity 4)
Sc 0.0969 0.2500 0.3880 (multiplicity 4)
Sb 0.1313 0.2500 0.7842 (multiplicity 4)